TiTlSeBr2 after structural relaxation. Source: Alexandria, functional PBE-GGA.

Values from the calculation:
- SG = No. 123
- raw formation energy (meV/atom) = -842

Cell and atoms, written as extended XYZ:
```
5
Lattice="5.345 0.000 0.000 0.000 5.345 0.000 0.000 0.000 4.978" Properties=species:S:1:pos:R:3 pbc="T T T"
Ti 0.000 0.000 0.000
Tl 2.673 2.673 2.489
Se 0.000 0.000 2.489
Br 0.000 2.673 0.000
Br 2.673 0.000 0.000
```


Ca2YHo after structural relaxation. Source: Alexandria, functional PBE-GGA.

Values from the calculation:
- ΔE_f (eV per atom) = 0.19
- SG = No. 225

Cell and atoms, written as extended XYZ:
```
4
Lattice="0.000 4.131 4.131 4.131 0.000 4.131 4.131 4.131 0.000" Properties=species:S:1:pos:R:3 pbc="T T T"
Ca 2.066 2.066 2.066
Ca 6.197 6.197 6.197
Y 0.000 0.000 0.000
Ho 4.131 4.131 4.131
```


RuICl2 after structural relaxation. Source: Alexandria, functional PBE-GGA.

Values from the calculation:
- SG = No. 122
- raw formation energy (meV/atom) = 256

Cell and atoms, written as extended XYZ:
```
8
Lattice="-3.563 3.563 4.830 3.563 -3.563 4.830 3.563 3.563 -4.830" Properties=species:S:1:pos:R:3 pbc="T T T"
Ru 0.000 0.000 0.000
Ru 0.000 3.563 2.415
I 3.563 0.000 2.415
I 0.000 0.000 4.830
Cl 0.683 1.781 1.207
Cl -1.781 2.879 3.622
Cl -0.683 5.344 1.207
Cl 1.781 4.246 3.622
```


Ce3TeAs2 after structural relaxation. Source: Alexandria, functional PBE-GGA.

Values from the calculation:
- SG = No. 15
- raw formation energy (meV/atom) = -1408

Cell and atoms, written as extended XYZ:
```
12
Lattice="3.752 -6.473 0.000 3.752 6.473 0.000 -2.480 0.000 7.022" Properties=species:S:1:pos:R:3 pbc="T T T"
Ce 1.876 3.236 0.000
Ce 0.487 1.168 3.488
Ce -0.753 -1.168 6.999
Ce 0.636 -3.236 3.511
Ce 5.776 1.168 0.023
Ce 4.536 -1.168 3.534
Te 3.131 1.000 1.755
Te 1.891 -1.000 5.266
As 3.131 5.386 1.755
As 1.891 3.165 5.266
As 3.131 -3.165 1.755
As 1.891 -5.386 5.266
```


La6Pm12Tl after structural relaxation. Source: Alexandria, functional PBE-GGA.

Values from the calculation:
- ΔE_f (eV per atom) = 0.06
- SG = No. 148

Cell and atoms, written as extended XYZ:
```
19
Lattice="6.121 3.534 5.094 -6.121 3.534 5.094 0.000 -7.068 5.094" Properties=species:S:1:pos:R:3 pbc="T T T"
La -3.442 -0.774 7.947
La -1.050 -3.367 7.334
La -2.391 2.593 7.334
La 2.391 -2.593 7.947
La 1.050 3.367 7.947
La 3.442 0.774 7.334
Pm -5.518 1.428 6.364
Pm -3.996 -4.065 8.918
Pm -2.096 -0.123 4.809
Pm 1.522 -5.493 6.364
Pm 1.154 -1.753 4.809
Pm 0.941 1.876 4.809
Pm -0.941 -1.876 10.473
Pm -1.154 1.753 10.473
Pm -1.522 5.493 8.918
Pm 2.096 0.123 10.473
Pm 3.996 4.065 6.364
Pm 5.518 -1.428 8.918
Tl 0.000 0.000 7.641
```


LiPr4Dy3Te8 after structural relaxation. Source: Alexandria, functional PBE-GGA.

Values from the calculation:
- SG = No. 166
- raw formation energy (meV/atom) = -1367

Cell and atoms, written as extended XYZ:
```
16
Lattice="4.404 2.543 7.335 -4.404 2.543 7.335 0.000 -5.086 7.335" Properties=species:S:1:pos:R:3 pbc="T T T"
Li 0.000 0.000 0.000
Pr -4.404 0.000 11.002
Pr -2.202 1.271 3.667
Pr 2.202 1.271 3.667
Pr 0.000 0.000 11.002
Dy -2.202 -1.271 7.335
Dy -2.202 1.271 14.669
Dy 0.000 2.543 7.335
Te 0.000 -2.593 9.028
Te -2.246 1.297 9.028
Te -2.246 -1.297 12.976
Te 0.000 0.000 5.606
Te 0.000 0.000 16.398
Te 2.246 1.297 9.028
Te 2.246 -1.297 12.976
Te 0.000 2.593 12.976
```


Ac2MgNbO6 after structural relaxation. Source: Alexandria, functional PBE-GGA.

Values from the calculation:
- SG = No. 14
- raw formation energy (meV/atom) = -2994

Cell and atoms, written as extended XYZ:
```
20
Lattice="5.836 0.000 0.000 0.000 5.780 0.000 -5.813 0.000 8.178" Properties=species:S:1:pos:R:3 pbc="T T T"
Ac -0.027 0.253 2.036
Ac -2.934 2.637 6.125
Ac 2.956 3.143 2.053
Ac 0.050 5.527 6.143
Mg 2.918 0.000 0.000
Mg 0.011 2.890 4.089
Nb -2.907 0.000 4.089
Nb 0.000 2.890 0.000
O -4.571 1.244 7.809
O -1.664 1.646 3.720
O -4.133 4.081 7.892
O -1.226 4.589 3.803
O -2.459 0.035 6.121
O 0.448 2.855 2.032
O -0.425 2.925 6.147
O 2.482 5.745 2.058
O 1.249 1.191 4.376
O 4.156 1.699 0.287
O 1.687 4.134 4.458
O 4.593 4.536 0.369
```


LiLa2Eu after structural relaxation. Source: Alexandria, functional PBE-GGA.

Values from the calculation:
- ΔE_f (eV per atom) = 0.18
- SG = No. 225

Cell and atoms, written as extended XYZ:
```
4
Lattice="0.000 4.084 4.084 4.084 0.000 4.084 4.084 4.084 0.000" Properties=species:S:1:pos:R:3 pbc="T T T"
Li 0.000 0.000 0.000
La 2.042 2.042 2.042
La 6.126 6.126 6.126
Eu 4.084 4.084 4.084
```


CaBrO2F after structural relaxation. Source: Alexandria, functional PBE-GGA.

Values from the calculation:
- SG = No. 123
- raw formation energy (meV/atom) = -866

Cell and atoms, written as extended XYZ:
```
5
Lattice="4.832 0.000 0.000 0.000 4.832 0.000 0.000 0.000 4.265" Properties=species:S:1:pos:R:3 pbc="T T T"
Ca 0.000 0.000 0.000
Br 2.416 2.416 2.132
O 0.000 2.416 0.000
O 2.416 0.000 0.000
F 0.000 0.000 2.132
```


Ho4CuS3 after structural relaxation. Source: Alexandria, functional PBE-GGA.

Values from the calculation:
- SG = No. 65
- raw formation energy (meV/atom) = -1522

Cell and atoms, written as extended XYZ:
```
8
Lattice="3.983 -5.562 0.000 3.983 5.562 0.000 0.000 0.000 3.843" Properties=species:S:1:pos:R:3 pbc="T T T"
Ho 1.979 0.000 1.921
Ho 3.983 2.778 0.000
Ho 3.983 -2.778 0.000
Ho 5.987 0.000 1.921
Cu 0.000 0.000 0.000
S 1.991 2.781 1.921
S 1.991 -2.781 1.921
S 3.983 0.000 0.000
```


CoTcTe3 after structural relaxation. Source: Alexandria, functional PBE-GGA.

Values from the calculation:
- SG = No. 221
- raw formation energy (meV/atom) = 950

Cell and atoms, written as extended XYZ:
```
5
Lattice="4.986 0.000 0.000 0.000 4.986 0.000 0.000 0.000 4.986" Properties=species:S:1:pos:R:3 pbc="T T T"
Co 0.000 0.000 0.000
Tc 2.493 2.493 2.493
Te 0.000 0.000 2.493
Te 0.000 2.493 0.000
Te 2.493 0.000 0.000
```